No. 1
# Sm2Er2CBr5

A geometry-optimized Sm2Er2CBr5 structure (PBE, OQMD).

The total DFT energy (no corrections) is -5.0369 eV/atom.

```
Sm2Er2CBr5
1.0
8.910 -1.904 0.000
8.910 1.904 0.000
-1.881 0.000 7.906
Sm Er C Br
2 2 1 5
direct
0.142 0.142 0.075
0.858 0.858 0.925
0.499 0.499 0.199
0.501 0.501 0.801
0.000 0.000 0.000
0.000 0.000 0.500
0.333 0.333 0.185
0.338 0.338 0.649
0.662 0.662 0.351
0.667 0.667 0.815
```

---

No. 2
# LiPd2Pb

A geometry-optimized LiPd2Pb structure (PBE, OQMD).

The total DFT energy (no corrections) is -4.3048 eV/atom.

```
LiPd2Pb
1.0
3.430 0.000 0.000
0.000 3.430 0.000
0.000 0.000 5.934
Li Pd Pb
1 2 1
direct
0.000 0.000 0.000
0.500 0.500 0.234
0.500 0.500 0.766
0.000 0.000 0.500
```

---

No. 3
# CsDyO3

A geometry-optimized CsDyO3 structure (PBE, OQMD).

The total DFT energy (no corrections) is -5.9131 eV/atom.

```
CsDyO3
1.0
3.201 1.848 5.208
-3.201 1.848 5.208
0.000 -3.696 5.208
Cs Dy O
2 2 6
direct
0.250 0.250 0.250
0.750 0.750 0.750
0.000 0.000 0.000
0.500 0.500 0.500
0.246 0.750 0.254
0.250 0.746 0.754
0.254 0.246 0.750
0.746 0.754 0.250
0.750 0.254 0.246
0.754 0.250 0.746
```

---

No. 4
# ErGaCo

A geometry-optimized ErGaCo structure (PBE, OQMD).

The total DFT energy (no corrections) is -5.0017 eV/atom.

```
ErGaCo
1.0
4.703 0.000 0.000
-2.352 4.073 0.000
0.000 0.000 5.661
Er Ga Co
2 2 2
direct
0.333 0.667 0.250
0.667 0.333 0.750
0.333 0.667 0.750
0.667 0.333 0.250
0.000 0.000 0.000
0.000 0.000 0.500
```

---

No. 5
# RbTe3WAu

A geometry-optimized RbTe3WAu structure (PBE, OQMD).

The total DFT energy (no corrections) is -4.4959 eV/atom.

```
RbTe3WAu
1.0
2.067 -8.215 0.000
2.067 8.215 0.000
0.000 0.000 10.901
Rb Te W Au
2 6 2 2
direct
0.237 0.763 0.750
0.763 0.237 0.250
0.066 0.934 0.250
0.384 0.616 0.025
0.384 0.616 0.475
0.616 0.384 0.525
0.616 0.384 0.975
0.934 0.066 0.750
0.000 0.000 0.000
0.000 0.000 0.500
0.450 0.550 0.250
0.550 0.450 0.750
```

---

No. 6
# GdMgZn

A geometry-optimized GdMgZn structure (PBE, OQMD).

The total DFT energy (no corrections) is -2.3803 eV/atom.

```
GdMgZn
1.0
4.215 0.000 0.000
-2.108 3.651 0.000
0.000 0.000 9.790
Gd Mg Zn
2 2 2
direct
0.333 0.667 0.138
0.667 0.333 0.862
0.000 0.000 0.351
0.000 0.000 0.649
0.333 0.667 0.526
0.667 0.333 0.474
```

---

No. 7
# ZrNi2B3

A geometry-optimized ZrNi2B3 structure (PBE, OQMD).

The total DFT energy (no corrections) is -7.0113 eV/atom.

```
ZrNi2B3
1.0
0.000 5.234 2.467
2.462 0.000 2.467
2.462 5.234 0.000
Zr Ni B
1 2 3
direct
0.000 0.000 0.000
0.234 0.234 0.266
0.734 0.734 0.766
0.331 0.636 0.364
0.501 0.501 0.499
0.636 0.331 0.669
```

---

No. 8
# NaYAu

A geometry-optimized NaYAu structure (PBE, OQMD).

The total DFT energy (no corrections) is -3.5147 eV/atom.

```
NaYAu
1.0
0.000 3.361 3.361
3.361 0.000 3.361
3.361 3.361 0.000
Na Y Au
1 1 1
direct
0.000 0.000 0.000
0.250 0.250 0.250
0.750 0.750 0.750
```

---

No. 9
# MgTaTcGe

A geometry-optimized MgTaTcGe structure (PBE, OQMD).

The total DFT energy (no corrections) is -6.8031 eV/atom.

```
MgTaTcGe
1.0
0.000 3.172 3.172
3.172 0.000 3.172
3.172 3.172 0.000
Mg Ta Tc Ge
1 1 1 1
direct
0.000 0.000 0.000
0.750 0.750 0.750
0.250 0.250 0.250
0.500 0.500 0.500
```

---

No. 10
# Na2ThS3

A geometry-optimized Na2ThS3 structure (PBE, OQMD).

The total DFT energy (no corrections) is -5.2517 eV/atom.

```
Na2ThS3
1.0
2.120 -7.690 0.000
2.120 7.690 0.000
0.000 0.000 11.183
Na Th S
4 2 6
direct
0.117 0.883 0.750
0.122 0.878 0.250
0.878 0.122 0.750
0.883 0.117 0.250
0.500 0.500 0.000
0.500 0.500 0.500
0.119 0.881 0.501
0.119 0.881 0.999
0.497 0.503 0.750
0.503 0.497 0.250
0.881 0.119 0.001
0.881 0.119 0.499
```

---

No. 11
# Zr3As

A geometry-optimized Zr3As structure (PBE, OQMD).

The total DFT energy (no corrections) is -8.3207 eV/atom.

```
Zr3As
1.0
11.026 0.000 0.000
0.000 11.026 0.000
0.000 0.000 5.477
Zr As
24 8
direct
0.035 0.569 0.239
0.069 0.965 0.739
0.110 0.224 0.034
0.145 0.667 0.713
0.167 0.855 0.213
0.224 0.390 0.466
0.276 0.110 0.466
0.333 0.645 0.213
0.355 0.833 0.713
0.390 0.276 0.034
0.431 0.535 0.739
0.465 0.931 0.239
0.535 0.069 0.761
0.569 0.465 0.261
0.610 0.724 0.966
0.645 0.167 0.287
0.667 0.355 0.787
0.724 0.890 0.534
0.776 0.610 0.534
0.833 0.145 0.787
0.855 0.333 0.287
0.890 0.776 0.966
0.931 0.035 0.261
0.965 0.431 0.761
0.044 0.210 0.538
0.210 0.456 0.962
0.290 0.044 0.962
0.456 0.290 0.538
0.544 0.710 0.462
0.710 0.956 0.038
0.790 0.544 0.038
0.956 0.790 0.462
```

---

No. 12
# CsNbAs

A geometry-optimized CsNbAs structure (PBE, OQMD).

The total DFT energy (no corrections) is -4.1800 eV/atom.

```
CsNbAs
1.0
0.000 3.414 3.414
3.414 0.000 3.414
3.414 3.414 0.000
Cs Nb As
1 1 1
direct
0.000 0.000 0.000
0.750 0.750 0.750
0.500 0.500 0.500
```

---

No. 13
# SiGePd2

A geometry-optimized SiGePd2 structure (PBE, OQMD).

The total DFT energy (no corrections) is -5.6001 eV/atom.

```
SiGePd2
1.0
5.770 0.000 0.000
0.000 3.468 0.000
-0.008 0.000 6.344
Si Ge Pd
2 2 4
direct
0.183 0.250 0.431
0.817 0.750 0.569
0.317 0.750 0.925
0.683 0.250 0.075
0.002 0.750 0.204
0.492 0.750 0.319
0.508 0.250 0.681
0.998 0.250 0.796
```

---

No. 14
# Si3Mo2Ir2

A geometry-optimized Si3Mo2Ir2 structure (PBE, OQMD).

The total DFT energy (no corrections) is -8.1751 eV/atom.

```
Si3Mo2Ir2
1.0
2.082 1.202 6.912
-2.082 1.202 6.912
0.000 -2.404 6.912
Si Mo Ir
3 2 2
direct
0.000 0.000 0.000
0.242 0.242 0.242
0.484 0.484 0.484
0.118 0.118 0.118
0.623 0.623 0.623
0.364 0.364 0.364
0.877 0.877 0.877
```

---

No. 15
# Sm2GdAg4Sn4

A geometry-optimized Sm2GdAg4Sn4 structure (PBE, OQMD).

The total DFT energy (no corrections) is -4.2938 eV/atom.

```
Sm2GdAg4Sn4
1.0
-2.316 3.667 7.709
2.316 -3.667 7.709
2.316 3.667 -7.709
Sm Gd Ag Sn
2 1 4 4
direct
0.128 0.128 0.000
0.872 0.872 0.000
0.500 0.000 0.500
0.131 0.329 0.802
0.473 0.671 0.802
0.527 0.329 0.198
0.869 0.671 0.198
0.198 0.500 0.698
0.287 0.787 0.500
0.713 0.213 0.500
0.802 0.500 0.302
```

---

No. 16
# SmGdSbI2

A geometry-optimized SmGdSbI2 structure (PBE, OQMD).

The total DFT energy (no corrections) is -4.6218 eV/atom.

```
SmGdSbI2
1.0
4.388 0.000 0.000
-2.194 3.801 0.000
0.000 0.000 11.346
Sm Gd Sb I
1 1 1 2
direct
0.000 0.000 0.000
0.667 0.333 0.697
0.333 0.667 0.846
0.000 0.000 0.525
0.667 0.333 0.175
```

---

No. 17
# ErMgOs

A geometry-optimized ErMgOs structure (PBE, OQMD).

The total DFT energy (no corrections) is -5.1777 eV/atom.

```
ErMgOs
1.0
0.000 3.178 3.178
3.178 0.000 3.178
3.178 3.178 0.000
Er Mg Os
1 1 1
direct
0.000 0.000 0.000
0.250 0.250 0.250
0.500 0.500 0.500
```

---

No. 18
# NaNdIn4Pd2

A geometry-optimized NaNdIn4Pd2 structure (PBE, OQMD).

The total DFT energy (no corrections) is -3.9303 eV/atom.

```
NaNdIn4Pd2
1.0
7.831 0.000 0.000
0.000 2.265 5.198
0.000 -2.265 5.198
Na Nd In Pd
1 1 4 2
direct
0.000 0.000 0.000
0.500 0.136 0.136
0.193 0.713 0.713
0.294 0.426 0.426
0.706 0.426 0.426
0.807 0.713 0.713
0.000 0.278 0.278
0.500 0.851 0.851
```

---

No. 19
# MgScFeSn

A geometry-optimized MgScFeSn structure (PBE, OQMD).

The total DFT energy (no corrections) is -5.1141 eV/atom.

```
MgScFeSn
1.0
0.000 3.276 3.276
3.276 0.000 3.276
3.276 3.276 0.000
Mg Sc Fe Sn
1 1 1 1
direct
0.000 0.000 0.000
0.750 0.750 0.750
0.500 0.500 0.500
0.250 0.250 0.250
```

---

No. 20
# RbPmSb

A geometry-optimized RbPmSb structure (PBE, OQMD).

The total DFT energy (no corrections) is -3.2952 eV/atom.

```
RbPmSb
1.0
0.000 3.849 3.849
3.849 0.000 3.849
3.849 3.849 0.000
Rb Pm Sb
1 1 1
direct
0.000 0.000 0.000
0.250 0.250 0.250
0.500 0.500 0.500
```

---

No. 21
# BaBiPtAu

A geometry-optimized BaBiPtAu structure (PBE, OQMD).

The total DFT energy (no corrections) is -3.9865 eV/atom.

```
BaBiPtAu
1.0
0.000 3.721 3.721
3.721 0.000 3.721
3.721 3.721 0.000
Ba Bi Pt Au
1 1 1 1
direct
0.000 0.000 0.000
0.750 0.750 0.750
0.500 0.500 0.500
0.250 0.250 0.250
```

---

No. 22
# NdTlZnSe3

A geometry-optimized NdTlZnSe3 structure (PBE, OQMD).

The total DFT energy (no corrections) is -4.2459 eV/atom.

```
NdTlZnSe3
1.0
8.463 0.000 0.000
0.000 4.210 0.000
-3.203 0.000 10.179
Nd Tl Zn Se
2 2 2 6
direct
0.196 0.250 0.137
0.804 0.750 0.863
0.233 0.750 0.709
0.767 0.250 0.291
0.425 0.750 0.393
0.575 0.250 0.607
0.047 0.250 0.853
0.283 0.250 0.443
0.450 0.750 0.168
0.550 0.250 0.832
0.717 0.750 0.557
0.953 0.750 0.147
```

---

No. 23
# DyInHgTe3

A geometry-optimized DyInHgTe3 structure (PBE, OQMD).

The total DFT energy (no corrections) is -3.5026 eV/atom.

```
DyInHgTe3
1.0
2.203 -7.629 0.000
2.203 7.629 0.000
0.000 0.000 11.487
Dy In Hg Te
2 2 2 6
direct
0.000 0.000 0.000
0.000 0.000 0.500
0.238 0.762 0.750
0.762 0.238 0.250
0.465 0.535 0.250
0.535 0.465 0.750
0.088 0.912 0.250
0.359 0.641 0.048
0.359 0.641 0.452
0.641 0.359 0.548
0.641 0.359 0.952
0.912 0.088 0.750
```

---

No. 24
# AcPaFe

A geometry-optimized AcPaFe structure (PBE, OQMD).

The calculation puts the formation enthalpy at 0 K at 0.558 eV/atom. The total DFT energy (no corrections) is -6.7451 eV/atom.

```
AcPaFe
1.0
0.000 3.402 3.402
3.402 0.000 3.402
3.402 3.402 0.000
Ac Pa Fe
1 1 1
direct
0.000 0.000 0.000
0.500 0.500 0.500
0.250 0.250 0.250
```

---

No. 25
# ScInFeAg

A geometry-optimized ScInFeAg structure (PBE, OQMD).

The total DFT energy (no corrections) is -5.0434 eV/atom.

```
ScInFeAg
1.0
0.000 3.326 3.326
3.326 0.000 3.326
3.326 3.326 0.000
Sc In Fe Ag
1 1 1 1
direct
0.000 0.000 0.000
0.250 0.250 0.250
0.500 0.500 0.500
0.750 0.750 0.750
```